The following is a DFT calculation (PBE) of an optimized crystal structure of GdInCu.

The structure in CIF format:
```
data_GdInCu
_cell_length_a 3.338
_cell_length_b 3.338
_cell_length_c 11.741
_cell_angle_alpha 90.00
_cell_angle_beta 90.00
_cell_angle_gamma 90.00
_space_group_name_H-M_alt 'I 4 m m'
_space_group_IT_number 107
_space_group_name_Hall 'I 4 -2'
loop_
_atom_site_label
_atom_site_type_symbol
_atom_site_fract_x
_atom_site_fract_y
_atom_site_fract_z
_atom_site_occupancy
Gd1 Gd 0.000 0.000 0.000 1
In1 In 0.000 0.000 0.704 1
Cu1 Cu 0.000 0.000 0.339 1
```

Results
- E_form (eV/f.u.) = -0.6
- V (Å³ per atom) = 21.81
- final energy (eV per atom) = -7.188
- size of the total moment (μB/atom) = 2.425